First-principles (PBE) data for a relaxed Ta3PdI crystal, as listed in Alexandria via LeMat-Bulk.

ΔE to the lowest computed polymorph   0 kJ/mol of formula units
D(E_F)   3.42 states/eV per cell
Space group   Pm-3m, No. 221

a = 4.924 Å, b = 4.924 Å, c = 4.924 Å
α = 90.00°, β = 90.00°, γ = 90.00°
Fractional positions:
1 Ta 0.000 0.000 0.500
2 Ta 0.000 0.500 0.000
3 Ta 0.500 0.000 0.000
4 Pd 0.000 0.000 0.000
5 I 0.500 0.500 0.500